1.
A relaxed structure of LaNd2FeSn3Ir2. Source: OQMD via LeMat-Bulk, functional GGA-PBE.

Cell: 4.0788 13.1074 7.6351 Å, 90.00 90.00 90.00°
Closest atoms and distances in Å follow each position.
Space group Amm2 (No. 38)
Asymmetric unit:
La: 0.0000 0.0000 0.0000  4 Ir 3.03, 1 Fe 3.18, 2 Sn 3.28
Nd: 0.0000 0.2067 0.6263  4 Ir 3.08-3.09, 1 Fe 3.15, 6 Sn 3.26-3.41
Fe: 0.0000 0.0000 0.4162  6 Sn 2.78-2.79
Sn: 0.5000 0.0000 0.6636  2 Fe 2.78, 2 Ir 2.92
Sn: 0.5000 0.1265 0.2956  2 Fe 2.79, 2 Ir 2.90-2.91
Ir: 0.5000 0.1644 0.9208  3 Sn 2.90-2.92, 2 La 3.03, 4 Nd 3.08-3.09

---

2.
A relaxed structure of UB4Os. Source: OQMD via LeMat-Bulk, functional GGA-PBE.

Cell: 7.3220 9.4053 3.5358 Å, 90.00 90.00 90.00°
Closest atoms and distances in Å follow each position.
Space group Cmmm (No. 65)
Asymmetric unit:
U: 0.0000 0.2000 0.0000  14 B 2.63-2.75
B: 0.0000 0.4070 0.5000  3 B 1.75-1.76
B: 0.1192 0.0000 0.5000  3 B 1.75-1.90
B: 0.2238 0.3398 0.5000  3 B 1.73-1.90
Os: 0.1886 0.5000 0.0000  10 B 2.26-2.41

---

3.
A relaxed structure of SrNiB2. Source: OQMD via LeMat-Bulk, functional GGA-PBE.

Cell: 6.0513 6.0513 6.0513 Å, 90.00 90.00 90.00°
Closest atoms and distances in Å follow each position.
Space group F-43m (No. 216)
Asymmetric unit:
Sr: 0.0000 0.0000 0.0000  4 Ni 2.62, 4 B 2.62
Ni: 0.2500 0.2500 0.7500  4 B 2.62, 4 Sr 2.62
B: 0.0000 0.0000 0.5000  4 B 2.62, 4 Ni 2.62
B: 0.2500 0.2500 0.2500  4 Sr 2.62, 4 B 2.62

---

| no. | calculated total energy (eV/cell) |
| --- | --- |
| 1 | -116.23 |
| 2 | -208.71 |
| 3 | -60.34 |